EuPaSb2 (GGA-PBE, relaxed); M_tot = 7.90 μB/f.u.; energy above the lowest structure with this stoichiometry = 184.9 meV per atom; electronic total energy = -7.586 eV/atom; E_form (uncorrected) = -0.58 eV/atom
1.0
5.395 0.000 0.000
2.698 4.673 0.000
2.698 1.558 4.405
Sb Pa Eu
2 1 1
Direct
0.750 0.750 0.750
0.250 0.250 0.250
0.500 0.500 0.500
0.000 0.000 0.000